Here is Mg5GaHg6 after structural relaxation from Alexandria. Energies are from GGA-PBE.

Structure (POSCAR):
```
Mg5GaHg6
1.0
-0.388 -4.404 -2.076
7.125 -1.265 1.352
-1.527 -0.649 7.438
Mg Hg Ga
5 6 1
direct
0.667 0.500 0.334
0.337 0.000 0.674
0.000 0.500 0.000
0.663 0.000 0.326
0.333 0.500 0.666
0.833 0.749 0.664
0.833 0.251 0.664
0.500 0.257 0.000
0.500 0.743 0.000
0.167 0.749 0.336
0.167 0.251 0.336
0.000 0.000 0.000
```

Calculated values
E in eV/cell: -14.79
Crystal system: monoclinic
Space group: No. 10


Here is Mg2Ga3Hg2 after structural relaxation from Alexandria. Energies are from GGA-PBE.

Structure (POSCAR):
```
Mg2Ga3Hg2
1.0
-6.000 4.313 0.354
2.890 0.349 -6.801
-1.893 -6.988 1.519
Mg Ga Hg
4 6 4
direct
0.000 0.000 0.482
0.500 0.482 0.500
0.518 0.018 0.018
0.982 0.500 0.000
0.752 0.750 0.002
0.748 0.250 0.498
0.998 0.248 0.250
0.502 0.252 0.750
0.250 0.002 0.252
0.750 0.498 0.248
0.000 0.000 0.849
0.500 0.849 0.500
0.151 0.651 0.651
0.349 0.500 0.000
```

Calculated values
E in eV/cell: -25.80
Crystal system: cubic
Space group: No. 199


Here is Mg8Ga3Hg2 after structural relaxation from Alexandria. Energies are from GGA-PBE.

Structure (POSCAR):
```
Mg8Ga3Hg2
1.0
-1.417 2.008 3.999
3.274 -6.175 4.262
7.785 1.627 1.942
Mg Ga Hg
8 3 2
direct
0.000 0.379 0.379
0.000 0.621 0.621
0.000 0.869 0.869
0.000 0.131 0.131
0.500 0.380 0.868
0.500 0.868 0.380
0.500 0.132 0.620
0.500 0.620 0.132
0.500 0.000 0.000
0.000 0.752 0.248
0.000 0.248 0.752
0.500 0.747 0.747
0.500 0.253 0.253
```

Calculated values
E in eV/cell: -24.04
Crystal system: orthorhombic
Space group: No. 65


Here is Mg2GaHg after structural relaxation from Alexandria. Energies are from GGA-PBE.

Structure (POSCAR):
```
Mg2GaHg
1.0
-3.217 0.105 0.781
-1.417 -2.424 1.758
0.469 3.620 8.507
Mg Ga Hg
2 1 1
direct
0.082 0.082 0.754
0.253 0.253 0.245
0.667 0.667 0.999
0.499 0.499 0.501
```

Calculated values
E in eV/cell: -6.98
Crystal system: monoclinic
Space group: No. 8


Here is MgGa2Hg after structural relaxation from Alexandria. Energies are from GGA-PBE.

Structure (POSCAR):
```
MgGa2Hg
1.0
4.206 0.000 0.161
0.000 4.120 0.000
-1.610 0.000 9.619
Mg Ga Hg
2 4 2
direct
0.205 0.250 0.366
0.795 0.750 0.634
0.565 0.250 0.111
0.435 0.750 0.889
0.081 0.750 0.108
0.919 0.250 0.892
0.703 0.750 0.340
0.297 0.250 0.660
```

Calculated values
E above lowest polymorph in meV per atom: 0
Crystal system: monoclinic
Space group: No. 11


Here is Mg3Ga8Hg after structural relaxation from Alexandria. Energies are from GGA-PBE.

Structure (POSCAR):
```
Mg3Ga8Hg
1.0
-5.069 2.320 -0.177
1.436 -3.238 4.308
3.098 7.098 4.302
Mg Ga Hg
3 8 1
direct
0.667 0.333 0.445
0.667 0.333 0.064
0.000 0.000 0.923
0.333 0.667 0.503
0.333 0.667 0.997
0.506 0.012 0.755
0.506 0.494 0.755
0.988 0.494 0.755
0.162 0.324 0.247
0.162 0.838 0.247
0.676 0.838 0.247
0.000 0.000 0.562
```

Calculated values
E in eV/cell: -29.69
Crystal system: trigonal
Space group: No. 156


Here is Mg14GaHg after structural relaxation from Alexandria. Energies are from GGA-PBE.

Structure (POSCAR):
```
Mg14GaHg
1.0
6.285 -0.266 0.000
-2.708 5.678 0.000
0.000 0.000 10.196
Mg Ga Hg
14 1 1
direct
0.200 0.800 0.000
0.700 0.300 0.000
0.051 0.448 0.500
0.204 0.297 0.000
0.552 0.949 0.500
0.703 0.796 0.000
0.377 0.128 0.740
0.377 0.128 0.260
0.872 0.623 0.740
0.872 0.623 0.260
0.376 0.624 0.748
0.376 0.624 0.252
0.876 0.124 0.750
0.876 0.124 0.250
0.543 0.457 0.500
0.046 0.954 0.500
```

Calculated values
E in eV/cell: -26.17
Crystal system: orthorhombic
Space group: No. 38


Here is Mg4Ga2Hg3 after structural relaxation from Alexandria. Energies are from GGA-PBE.

Structure (POSCAR):
```
Mg4Ga2Hg3
1.0
4.924 0.001 0.001
2.462 4.089 0.358
0.000 -1.807 9.319
Mg Ga Hg
4 2 3
direct
0.673 0.654 0.891
0.986 0.028 0.321
0.014 0.972 0.679
0.327 0.346 0.109
0.345 0.311 0.776
0.655 0.689 0.224
0.323 0.353 0.426
0.000 0.000 0.000
0.677 0.647 0.574
```

Calculated values
E in eV/cell: -14.46
Crystal system: monoclinic
Space group: No. 12


What is the formula in the second record? Mg2Ga3Hg2